No. 1
The following is a DFT calculation (PBE-GGA) of Ni3Sb5 after structural relaxation.

The energy above the most stable polymorph in this dataset is 10 meV/atom. Its formation energy from raw total energies is 1.4 eV/f.u.

abc: 6.6388 6.6388 4.0208
angles: 90.00 90.00 107.38
Last column: nearest neighbours and their distance in Å.
Sites, in units of the cell vectors:
Sb 0.2915 0.2915 0.5000  4 Ni 2.55-2.59
Sb 0.0000 0.5000 0.0000  4 Ni 2.90
Sb 0.5000 0.0000 0.0000  4 Ni 2.90
Sb 0.0000 0.0000 0.0000  8 Sb 3.05-3.32
Sb 0.7085 0.7085 0.5000  4 Ni 2.55-2.59
Ni 0.3176 0.6824 0.5000  2 Sb 2.55, 2 Ni 2.80
Ni 0.5000 0.5000 0.0000  4 Sb 2.59, 4 Ni 2.80
Ni 0.6824 0.3176 0.5000  2 Sb 2.55, 2 Ni 2.80

---

No. 2
The following is a DFT calculation (PBE-GGA) of GePt2N2 after structural relaxation.

The energy above the most stable polymorph in this dataset is 407 meV/atom. Its formation energy from raw total energies is 6.0 eV/f.u.

abc: 6.8896 6.8896 2.9597
angles: 90.00 90.00 90.00
Last column: nearest neighbours and their distance in Å.
Sites, in units of the cell vectors:
N 0.6547 0.1547 0.0000  2 Pt 2.02
N 0.1547 0.3453 0.0000  2 Pt 2.02
N 0.3453 0.8453 0.0000  2 Pt 2.02
N 0.8453 0.6547 0.0000  2 Pt 2.02
Pt 0.7041 0.7959 0.5000  2 N 2.02
Pt 0.7959 0.2959 0.5000  2 N 2.02
Pt 0.2041 0.7041 0.5000  2 N 2.02
Pt 0.2959 0.2041 0.5000  2 N 2.02
Ge 0.0000 0.0000 0.0000  4 N 2.61, 8 Pt 2.89
Ge 0.5000 0.5000 0.0000  4 N 2.61, 8 Pt 2.89